(1)
The following is a DFT calculation (GGA-PBE) of BaNa7Tl4 after structural relaxation.

abc: 7.0239 7.0239 11.9000
angles: 116.61 116.61 52.43
Fractional positions:
Ba 0.0000 0.0000 0.0000
Na 0.1210 0.1210 0.4384
Na 0.1891 0.1891 0.7864
Na 0.3497 0.3497 0.3827
Na 0.5000 0.5000 0.0000
Na 0.6503 0.6503 0.6173
Na 0.8109 0.8109 0.2136
Na 0.8790 0.8790 0.5616
Tl 0.3138 0.3138 0.0991
Tl 0.4054 0.4054 0.6961
Tl 0.5946 0.5946 0.3039
Tl 0.6862 0.6862 0.9009

symmetry = C2/m (12)
DFT formation energy = -45 meV/atom

---

(2)
The following is a DFT calculation (GGA-PBE) of MnBiB2I after structural relaxation.

abc: 4.3579 4.3579 6.1300
angles: 90.00 90.00 90.00
Fractional positions:
Mn 0.0000 0.0000 0.0000
Bi 0.5000 0.5000 0.0000
B 0.0000 0.5000 0.5000
B 0.5000 0.0000 0.5000
I 0.5000 0.5000 0.5000

uncorrected energy = -14.448 eV/cell
symmetry = P4/mmm (123)

---

(3)
The following is a DFT calculation (GGA-PBE) of SrSnPd2 after structural relaxation.

abc: 5.9126 5.9126 5.9126
angles: 46.14 46.14 46.14
Fractional positions:
Sr 0.0000 0.0000 0.0000
Sn 0.5000 0.5000 0.5000
Pd 0.1986 0.1986 0.1986
Pd 0.8014 0.8014 0.8014

symmetry = R-3m (166)
DFT formation energy = -709 meV/atom

---

(4)
The following is a DFT calculation (GGA-PBE) of Zr2CdPb after structural relaxation.

abc: 3.2161 5.2704 5.4227
angles: 90.00 92.76 90.00
Fractional positions:
Zr 0.0000 0.0000 0.0000
Zr 0.1195 0.5000 0.6545
Cd 0.5860 0.5000 0.1385
Pb 0.5428 0.0000 0.5016

symmetry = Pm (6)
DFT formation energy = -56 meV/atom

---

(5)
The following is a DFT calculation (GGA-PBE) of SbSe2BrF after structural relaxation.

abc: 5.4035 5.4035 5.4789
angles: 90.00 90.00 90.00
Fractional positions:
Sb 0.0000 0.0000 0.0000
Se 0.0000 0.5000 0.0000
Se 0.5000 0.0000 0.0000
Br 0.0000 0.0000 0.5000
F 0.5000 0.5000 0.5000

symmetry = P4/mmm (123)
distance to the lowest polymorph of the same formula = 81 meV/atom

---

(6)
The following is a DFT calculation (GGA-PBE) of Sr2ScSiPd6 after structural relaxation.

abc: 6.6854 6.7014 6.7392
angles: 60.25 60.49 60.89
Fractional positions:
Sr 0.1081 0.2980 0.2971
Sr 0.8919 0.7020 0.7029
Sc 0.0000 0.0000 0.0000
Si 0.5000 0.5000 0.5000
Pd 0.3739 0.6683 0.8128
Pd 0.3813 0.1388 0.6659
Pd 0.3806 0.8095 0.1397
Pd 0.6194 0.1905 0.8603
Pd 0.6187 0.8612 0.3341
Pd 0.6261 0.3317 0.1872

uncorrected energy = -52.327 eV/cell
symmetry = P-1 (2)

---

(7)
The following is a DFT calculation (GGA-PBE) of NdGaPdN after structural relaxation.

abc: 3.8948 3.8948 9.1768
angles: 90.00 90.00 90.00
Fractional positions:
Nd 0.2500 0.2500 0.1369
Nd 0.7500 0.7500 0.8631
Ga 0.2500 0.2500 0.6714
Ga 0.7500 0.7500 0.3286
Pd 0.2500 0.7500 0.5000
Pd 0.7500 0.2500 0.5000
N 0.2500 0.2500 0.8841
N 0.7500 0.7500 0.1159

uncorrected energy = -49.771 eV/cell
symmetry = P4/nmm (129)

---

(8)
The following is a DFT calculation (GGA-PBE) of Ba2SrCaS4 after structural relaxation.

abc: 7.5584 4.3645 7.5825
angles: 90.00 109.40 90.00
Fractional positions:
Ba 0.0000 0.0000 0.0000
Ba 0.5000 0.5000 0.0000
Sr 0.0000 0.5000 0.5000
Ca 0.5000 0.0000 0.5000
S 0.2493 0.0000 0.7308
S 0.2630 0.5000 0.2726
S 0.7370 0.5000 0.7274
S 0.7507 0.0000 0.2692

uncorrected energy = -40.663 eV/cell
symmetry = P2/m (10)

---

The calculation returns the following magnetization values, one per record and in order: 0.00, 0.23, 0.00, 0.00, 2.48, 0.00, 0.00, 0.00 μB per formula unit.